[1]
## Mo2PbBr (PBE-GGA)

Data for a relaxed Mo2PbBr crystal.

Results
* E above lowest polymorph: 861 meV per atom
* SG: Fm-3m (225)

a = 4.7280 Å, b = 4.7280 Å, c = 4.7280 Å
α = 60.00°, β = 60.00°, γ = 60.00°
Atoms (fractional coordinates):
1 Pb 0.5000 0.5000 0.5000
2 Mo 0.2500 0.2500 0.2500
3 Mo 0.7500 0.7500 0.7500
4 Br 0.0000 0.0000 0.0000

[2]
## Pu2SiAg (PBE-GGA)

Data for a relaxed Pu2SiAg crystal.

Results
* calculated total energy: -8.957 eV/atom
* SG: P4/mmm (123)

a = 5.1441 Å, b = 3.5893 Å, c = 3.5893 Å
α = 90.00°, β = 90.00°, γ = 90.00°
Atoms (fractional coordinates):
1 Si 0.5000 0.0000 0.0000
2 Ag 0.5000 0.5000 0.5000
3 Pu 0.0000 0.0000 0.5000
4 Pu 0.0000 0.5000 0.0000

[3]
## Tb4Mg5Cu2 (PBE-GGA)

Data for a relaxed Tb4Mg5Cu2 crystal.

Results
* energy relative to the elements: -1.1 eV per formula unit
* SG: P2/m (10)

a = 3.5004 Å, b = 7.9509 Å, c = 9.8640 Å
α = 92.94°, β = 90.00°, γ = 90.00°
Atoms (fractional coordinates):
1 Tb 0.5000 0.7757 0.5490
2 Tb 0.5000 0.1606 0.8571
3 Tb 0.5000 0.2243 0.4510
4 Tb 0.5000 0.8394 0.1429
5 Mg 0.0000 0.5514 0.3139
6 Mg 0.0000 0.1886 0.1581
7 Mg 0.0000 0.5000 0.0000
8 Mg 0.0000 0.8114 0.8419
9 Mg 0.0000 0.4486 0.6861
10 Cu 0.0000 0.0568 0.6329
11 Cu 0.0000 0.9432 0.3671

[4]
## AgGePt2 (PBE-GGA)

Data for a relaxed AgGePt2 crystal.

Results
* energy relative to the elements: -0.7 eV per formula unit
* SG: P4/mmm (123)

a = 2.9824 Å, b = 2.9824 Å, c = 7.3111 Å
α = 90.00°, β = 90.00°, γ = 90.00°
Atoms (fractional coordinates):
1 Ge 0.5000 0.5000 0.0000
2 Ag 0.5000 0.5000 0.5000
3 Pt 0.0000 0.0000 0.7820
4 Pt 0.0000 0.0000 0.2180

[5]
## Ti3NbH (PBE-GGA)

Data for a relaxed Ti3NbH crystal.

Results
* E above lowest polymorph: 1679 meV per atom
* SG: Pm-3m (221)

a = 4.8099 Å, b = 4.8099 Å, c = 4.8099 Å
α = 90.00°, β = 90.00°, γ = 90.00°
Atoms (fractional coordinates):
1 H 0.5000 0.5000 0.5000
2 Nb 0.0000 0.0000 0.0000
3 Ti 0.0000 0.5000 0.0000
4 Ti 0.0000 0.0000 0.5000
5 Ti 0.5000 0.0000 0.0000

[6]
## K2CdCo (PBE-GGA)

Data for a relaxed K2CdCo crystal.

Results
* energy relative to the elements: 2.8 eV per formula unit
* SG: P2/m (10)

a = 4.2208 Å, b = 3.9384 Å, c = 9.4379 Å
α = 65.07°, β = 90.00°, γ = 90.00°
Last column: magnetic moment on the atom in μB.
Atoms (fractional coordinates):
1 Cd 0.5000 0.2500 0.2500  0.00
2 Co 0.5000 0.7500 0.7500  1.96
3 K 0.0000 0.0211 0.9784  -0.01
4 K 0.0000 0.4789 0.5216  -0.01

[7]
## SrAuS3 (PBE-GGA)

Data for a relaxed SrAuS3 crystal.

Results
* E above lowest polymorph: 293 meV per atom
* SG: Pm-3m (221)

a = 4.9046 Å, b = 4.9046 Å, c = 4.9046 Å
α = 90.00°, β = 90.00°, γ = 90.00°
Atoms (fractional coordinates):
1 Sr 0.5000 0.5000 0.5000
2 S 0.0000 0.5000 0.0000
3 S 0.0000 0.0000 0.5000
4 S 0.5000 0.0000 0.0000
5 Au 0.0000 0.0000 0.0000

[8]
## MgCu4O6 (PBE-GGA)

Data for a relaxed MgCu4O6 crystal.

Results
* calculated total energy: -5.155 eV/atom
* SG: Cmcm (63)

a = 5.1311 Å, b = 5.1311 Å, c = 14.5817 Å
α = 90.00°, β = 90.00°, γ = 146.56°
Atoms (fractional coordinates):
1 Mg 0.3369 0.6631 0.2500
2 Mg 0.6631 0.3369 0.7500
3 Cu 0.1395 0.8605 0.5442
4 Cu 0.5895 0.4105 0.1366
5 Cu 0.8605 0.1395 0.4558
6 Cu 0.4105 0.5895 0.8634
7 Cu 0.1395 0.8605 0.9558
8 Cu 0.8605 0.1395 0.0442
9 Cu 0.4105 0.5895 0.6366
10 Cu 0.5895 0.4105 0.3634
11 O 0.5000 0.5000 0.0000
12 O 0.5000 0.5000 0.5000
13 O 0.9448 0.0552 0.3399
14 O 0.0552 0.9448 0.6601
15 O 0.0552 0.9448 0.8399
16 O 0.9448 0.0552 0.1601
17 O 0.2139 0.7861 0.4209
18 O 0.7861 0.2139 0.5791
19 O 0.7861 0.2139 0.9209
20 O 0.2139 0.7861 0.0791
21 O 0.6918 0.3082 0.2500
22 O 0.3082 0.6918 0.7500